This record from Alexandria via LeMat-Bulk describes a relaxed AcPrGd2 crystal. The functional is PBE.

The structure in POSCAR format:
```
AcPrGd2
1.0
1.822 1.052 12.886
-1.822 1.052 12.886
0.000 -2.104 12.886
Ac Pr Gd
1 1 2
Direct
0.000 0.000 0.000
0.500 0.500 0.500
0.092 0.092 0.092
0.908 0.908 0.908
```

Values from the calculation:
ΔE to the lowest computed polymorph   140 meV per atom
Total DFT energy (no corrections)   -9.0925 eV per atom
Magnetic moment   15.1 μB/f.u.

=====

This record from Alexandria via LeMat-Bulk describes a relaxed ZnCdSb crystal. The functional is PBE.

The structure in POSCAR format:
```
ZnCdSb
1.0
0.000 3.425 3.425
3.425 0.000 3.425
3.425 3.425 0.000
Zn Cd Sb
1 1 1
Direct
0.000 0.000 0.000
0.500 0.500 0.500
0.250 0.250 0.250
```

Values from the calculation:
ΔE to the lowest computed polymorph   86 meV per atom
Total DFT energy (no corrections)   -1.9793 eV per atom
Formation energy without anion corrections   0.1246 eV per atom
Magnetic moment   0.0 μB/f.u.

=====

Repeat the first record exactly.
This record from Alexandria via LeMat-Bulk describes a relaxed AcPrGd2 crystal. The functional is PBE.

The structure in POSCAR format:
```
AcPrGd2
1.0
1.822 1.052 12.886
-1.822 1.052 12.886
0.000 -2.104 12.886
Ac Pr Gd
1 1 2
Direct
0.000 0.000 0.000
0.500 0.500 0.500
0.092 0.092 0.092
0.908 0.908 0.908
```

Values from the calculation:
ΔE to the lowest computed polymorph   140 meV per atom
Total DFT energy (no corrections)   -9.0925 eV per atom
Magnetic moment   15.1 μB/f.u.